The following is a DFT calculation (PBE-GGA) of crystalline LiYOs2 at its relaxed geometry.

```
LiYOs2
1.0
2.892 0.000 0.000
0.000 3.953 0.000
0.000 0.000 5.965
Li Os Y
1 2 1
direct
0.500 0.500 0.782 Li
0.000 0.000 0.024 Os
0.500 0.500 0.197 Os
0.000 0.000 0.497 Y
```

E above lowest polymorph   20 meV/atom
ΔH_f (0 K)   0.22 eV per atom

The following is a DFT calculation (PBE-GGA) of crystalline ZrCr2Re at its relaxed geometry.

```
ZrCr2Re
1.0
-3.431 -3.475 1.503
-0.993 -5.002 0.308
0.754 -1.916 3.988
Cr Re Zr
2 1 1
direct
0.011 0.011 0.989 Cr
0.489 0.489 0.511 Cr
0.750 0.750 0.750 Re
0.250 0.250 0.250 Zr
```

E above lowest polymorph   111 meV/atom
ΔH_f (0 K)   0.14 eV per atom

The following is a DFT calculation (PBE-GGA) of crystalline PIrSe2 at its relaxed geometry.

```
PIrSe2
1.0
5.196 -3.246 -0.037
2.866 -2.353 4.877
-5.184 0.433 -3.236
P Ir Se
1 1 2
direct
0.651 0.151 0.500 P
0.499 0.499 0.000 Ir
0.024 0.024 0.000 Se
0.325 0.825 0.500 Se
```

Formation energy from raw total energies   0.264 eV/atom

The following is a DFT calculation (PBE-GGA) of crystalline RbNaTc2O8 at its relaxed geometry.

```
RbNaTc2O8
1.0
6.086 0.000 0.000
3.043 5.357 0.180
3.043 2.108 6.865
Rb Na Tc O
1 1 2 8
direct
0.500 0.500 0.500 Rb
0.000 0.000 0.000 Na
0.284 0.259 0.173 Tc
0.716 0.741 0.827 Tc
0.893 0.473 0.740 O
0.647 0.623 0.083 O
0.107 0.527 0.260 O
0.353 0.377 0.917 O
0.575 0.065 0.253 O
0.425 0.935 0.747 O
0.107 0.065 0.253 O
0.893 0.935 0.747 O
```

Formation energy from raw total energies   -1.629 eV/atom

The following is a DFT calculation (PBE-GGA) of crystalline Ce3PmAs4 at its relaxed geometry.

```
Ce3PmAs4
1.0
4.223 0.000 0.000
0.000 7.313 -0.069
0.000 -2.371 6.918
Ce Pm As
3 1 4
direct
0.000 0.000 0.500 Ce
0.500 0.500 0.500 Ce
0.000 0.500 0.000 Ce
0.500 0.000 0.000 Pm
0.000 0.252 0.252 As
0.500 0.749 0.251 As
0.000 0.748 0.748 As
0.500 0.251 0.749 As
```

ΔH_f (0 K)   -1.45 eV per atom

The following is a DFT calculation (PBE-GGA) of crystalline MgZnSe2 at its relaxed geometry.

```
MgZnSe2
1.0
-3.059 0.168 -2.789
2.647 -5.340 -3.223
-3.963 -4.429 4.081
Mg Zn Se
2 2 4
direct
0.372 0.088 0.718 Mg
0.373 0.588 0.060 Mg
0.872 0.089 0.225 Zn
0.872 0.589 0.553 Zn
0.373 0.704 0.716 Se
0.372 0.204 0.062 Se
0.872 0.221 0.546 Se
0.873 0.721 0.232 Se
```

Formation energy from raw total energies   -0.974 eV/atom

The following is a DFT calculation (PBE-GGA) of crystalline RbSrCa2Au at its relaxed geometry.

```
RbSrCa2Au
1.0
-4.371 -1.754 3.704
3.669 -4.087 2.395
1.907 4.194 4.236
Sr Ca Au Rb
1 2 1 1
direct
0.000 0.000 0.500 Sr
0.000 0.500 0.000 Ca
0.500 0.000 0.000 Ca
0.000 0.000 0.000 Au
0.500 0.500 0.500 Rb
```

ΔH_f (0 K)   -0.27 eV per atom

The following is a DFT calculation (PBE-GGA) of crystalline Ge2S2O at its relaxed geometry.

```
Ge2S2O
1.0
5.200 0.000 0.000
0.000 5.200 0.000
2.600 2.600 3.167
Ge S O
2 2 1
direct
0.750 0.250 0.500 Ge
0.250 0.750 0.500 Ge
0.315 0.315 0.370 S
0.685 0.685 0.630 S
0.000 0.000 0.000 O
```

E above lowest polymorph   0 meV/atom
Formation energy from raw total energies   0.120 eV/atom

Magnetic moment, respectively: 0.0 0.0 0.0 0.0 2.1 0.0 0.0 0.0 μB/f.u..